1.
SrOs2Pb PBE relaxed; energy relative to the elements = 1.279 eV/atom
1.0
1.6821 -2.5556 0.0000
1.6821 2.5556 0.0000
0.0000 0.0000 9.5343
Sr Os Pb
1 2 1
direct
0.0000 0.0000 0.0000
0.5000 0.5000 0.2626
0.5000 0.5000 0.7374
0.0000 0.0000 0.5000

2.
SrOs3Pb PBE relaxed; energy relative to the elements = 3.296 eV/atom
1.0
4.9877 0.0000 0.0000
0.0000 4.9877 0.0000
0.0000 0.0000 4.9877
Sr Os Pb
1 3 1
direct
0.0000 0.0000 0.0000
0.0000 0.0000 0.5000
0.0000 0.5000 0.0000
0.5000 0.0000 0.0000
0.5000 0.5000 0.5000

3.
Sr2OsPb PBE relaxed; energy relative to the elements = 0.357 eV/atom
1.0
3.3749 0.0000 0.0000
0.0000 3.5909 0.0000
0.0000 0.0000 9.4022
Sr Os Pb
2 1 1
direct
0.0000 0.0000 0.2070
0.0000 0.0000 0.7930
0.5000 0.5000 0.0000
0.5000 0.5000 0.5000

4.
Sr2OsPb PBE relaxed; energy relative to the elements = 0.455 eV/atom
1.0
4.9144 0.0000 0.0000
0.0000 4.9144 0.0000
0.0000 0.0000 4.5215
Sr Os Pb
2 1 1
direct
0.0000 0.5000 0.0000
0.5000 0.0000 0.0000
0.0000 0.0000 0.5000
0.5000 0.5000 0.5000

5.
Sr2OsPb PBE relaxed; energy relative to the elements = 0.333 eV/atom
1.0
-5.5032 5.5032 2.6396
5.5032 -5.5032 2.6396
5.5032 5.5032 -2.6396
Sr Os Pb
4 2 2
direct
0.3750 0.2109 0.3359
0.7891 0.1250 0.1641
0.8750 0.0391 0.6641
0.9609 0.6250 0.8359
0.0000 0.0000 0.0000
0.7500 0.2500 0.5000
0.2500 0.7500 0.5000
0.5000 0.5000 0.0000

6.
Sr3OsPb PBE relaxed; energy relative to the elements = 0.324 eV/atom
1.0
5.7516 0.0000 0.0000
0.0000 5.7516 0.0000
0.0000 0.0000 5.7516
Sr Os Pb
3 1 1
direct
0.0000 0.0000 0.5000
0.0000 0.5000 0.0000
0.5000 0.0000 0.0000
0.0000 0.0000 0.0000
0.5000 0.5000 0.5000

7.
SrOs2Pb PBE relaxed; energy relative to the elements = 1.138 eV/atom
1.0
3.0834 -4.9043 0.0000
3.0834 4.9043 0.0000
-1.3335 0.0000 2.6647
Sr Os Pb
1 2 1
direct
0.0000 0.0000 0.0000
0.0000 0.5000 0.5000
0.5000 0.0000 0.5000
0.5000 0.5000 0.0000

8.
TaOsPb2 PBE relaxed; energy relative to the elements = 0.894 eV/atom
1.0
-1.6123 2.6150 4.9627
1.6123 -2.6150 4.9627
1.6123 2.6150 -4.9627
Ta Os Pb
1 1 2
direct
0.0000 0.0000 0.0000
0.5000 0.5000 0.0000
0.2705 0.7705 0.5000
0.7295 0.2295 0.5000